Ca2PmAg2Sn2: relaxed, GGA-PBE. Values from VASP.

Values from the calculation:
- space-group type = R-3m (166)
- formation energy (eV/atom) = -0.48

Structure (Quantum ESPRESSO input):
```
&SYSTEM
  ibrav = 0, nat = 7, ntyp = 4
/
ATOMIC_SPECIES
Ca 40.08 Ca.upf
Pm 145.00 Pm.upf
Ag 107.87 Ag.upf
Sn 118.71 Sn.upf
CELL_PARAMETERS angstrom
2.429 1.402 9.300
-2.429 1.402 9.300
0.000 -2.805 9.300
ATOMIC_POSITIONS angstrom
Ca 0.000 0.000 3.571
Ca 0.000 0.000 24.328
Pm 0.000 0.000 0.000
Ag 0.000 0.000 11.123
Ag 0.000 0.000 16.776
Sn 0.000 0.000 7.266
Sn 0.000 0.000 20.633
```

***

Pr2CuSn4Au3: relaxed, GGA-PBE. Values from VASP.

Values from the calculation:
- space-group type = P-4m2 (115)
- formation energy (eV/atom) = -0.52

Structure (Quantum ESPRESSO input):
```
&SYSTEM
  ibrav = 0, nat = 10, ntyp = 4
/
ATOMIC_SPECIES
Pr 140.91 Pr.upf
Cu 63.55 Cu.upf
Sn 118.71 Sn.upf
Au 196.97 Au.upf
CELL_PARAMETERS angstrom
4.575 0.000 0.000
0.000 4.575 0.000
0.000 0.000 11.532
ATOMIC_POSITIONS angstrom
Pr 0.000 2.288 2.626
Pr 2.288 0.000 8.907
Cu 2.288 2.288 0.000
Sn 0.000 0.000 5.766
Sn 0.000 2.288 10.090
Sn 2.288 0.000 1.443
Sn 2.288 2.288 5.766
Au 0.000 0.000 0.000
Au 0.000 2.288 7.438
Au 2.288 0.000 4.095
```

***

CsBaCa2Ir: relaxed, GGA-PBE. Values from VASP.

Values from the calculation:
- space-group type = P4/mmm (123)
- formation energy (eV/atom) = -0.03

Structure (Quantum ESPRESSO input):
```
&SYSTEM
  ibrav = 0, nat = 5, ntyp = 4
/
ATOMIC_SPECIES
Cs 132.91 Cs.upf
Ba 137.33 Ba.upf
Ca 40.08 Ca.upf
Ir 192.22 Ir.upf
CELL_PARAMETERS angstrom
5.812 0.000 0.000
0.000 5.812 0.000
0.000 0.000 6.274
ATOMIC_POSITIONS angstrom
Cs 0.000 0.000 0.000
Ba 2.906 2.906 0.000
Ca 0.000 2.906 3.137
Ca 2.906 0.000 3.137
Ir 2.906 2.906 3.137
```

***

CuMoPt3: relaxed, GGA-PBE. Values from VASP.

Values from the calculation:
- space-group type = Pm-3m (221)
- formation energy (eV/atom) = 1.12

Structure (Quantum ESPRESSO input):
```
&SYSTEM
  ibrav = 0, nat = 5, ntyp = 3
/
ATOMIC_SPECIES
Cu 63.55 Cu.upf
Mo 95.94 Mo.upf
Pt 195.08 Pt.upf
CELL_PARAMETERS angstrom
4.530 0.000 0.000
0.000 4.530 0.000
0.000 0.000 4.530
ATOMIC_POSITIONS angstrom
Cu 0.000 0.000 0.000
Mo 2.265 2.265 2.265
Pt 0.000 0.000 2.265
Pt 0.000 2.265 0.000
Pt 2.265 0.000 0.000
```

***

Ac3Pm2DyS6: relaxed, GGA-PBE. Values from VASP.

Values from the calculation:
- space-group type = C2/m (12)
- formation energy from raw total energies (eV per atom) = -2.0045

Structure (Quantum ESPRESSO input):
```
&SYSTEM
  ibrav = 0, nat = 12, ntyp = 4
/
ATOMIC_SPECIES
Ac 227.00 Ac.upf
Pm 145.00 Pm.upf
Dy 162.50 Dy.upf
S 32.06 S.upf
CELL_PARAMETERS angstrom
3.561 -6.182 0.000
3.561 6.182 0.000
-2.389 0.000 6.873
ATOMIC_POSITIONS angstrom
Ac 0.000 0.000 0.000
Ac 3.561 2.092 0.000
Ac 3.561 -2.092 0.000
Pm 2.367 4.121 3.436
Pm 2.367 -4.121 3.436
Dy 2.367 0.000 3.436
S 1.211 2.015 1.883
S 0.042 0.000 5.010
S 1.211 -2.015 1.883
S 3.523 2.015 4.989
S 4.692 0.000 1.863
S 3.523 -2.015 4.989
```

***

Bi2Sb2N: relaxed, GGA-PBE. Values from VASP.

Values from the calculation:
- space-group type = I4/mmm (139)
- formation energy from raw total energies (eV per atom) = 1.0909

Structure (Quantum ESPRESSO input):
```
&SYSTEM
  ibrav = 0, nat = 5, ntyp = 3
/
ATOMIC_SPECIES
Bi 208.98 Bi.upf
Sb 121.76 Sb.upf
N 14.01 N.upf
CELL_PARAMETERS angstrom
-2.010 2.010 8.645
2.010 -2.010 8.645
2.010 2.010 -8.645
ATOMIC_POSITIONS angstrom
Bi 0.000 0.000 1.444
Bi 0.000 0.000 15.845
Sb 2.010 0.000 4.322
Sb 0.000 2.010 4.322
N 0.000 0.000 8.645
```

***

KScI2: relaxed, GGA-PBE. Values from VASP.

Values from the calculation:
- space-group type = R-3m (166)
- formation energy from raw total energies (eV per atom) = -0.8061

Structure (Quantum ESPRESSO input):
```
&SYSTEM
  ibrav = 0, nat = 4, ntyp = 3
/
ATOMIC_SPECIES
K 39.10 K.upf
Sc 44.96 Sc.upf
I 126.90 I.upf
CELL_PARAMETERS angstrom
2.047 1.182 9.728
-2.047 1.182 9.728
0.000 -2.363 9.728
ATOMIC_POSITIONS angstrom
K 0.000 0.000 0.000
Sc 0.000 0.000 14.592
I 0.000 0.000 6.712
I 0.000 0.000 22.471
```

***

LiCa2Sb2: relaxed, GGA-PBE. Values from VASP.

Values from the calculation:
- space-group type = I4/mmm (139)
- formation energy from raw total energies (eV per atom) = -0.4538

Structure (Quantum ESPRESSO input):
```
&SYSTEM
  ibrav = 0, nat = 5, ntyp = 3
/
ATOMIC_SPECIES
Li 6.94 Li.upf
Ca 40.08 Ca.upf
Sb 121.76 Sb.upf
CELL_PARAMETERS angstrom
-2.689 2.689 6.173
2.689 -2.689 6.173
2.689 2.689 -6.173
ATOMIC_POSITIONS angstrom
Li 0.000 0.000 0.000
Ca 2.689 0.000 3.086
Ca 0.000 2.689 3.086
Sb 0.000 0.000 4.696
Sb 0.000 0.000 7.650
```